## Y2NiHgO (PBE with a Hubbard U)

Data for a relaxed Y2NiHgO crystal.

Lattice parameters (Å, degrees): 5.645 5.645 4.183 90.00 90.00 90.00
Space group P4/mmm (No. 123)
Asymmetric unit:
Y (0.000, 0.500, 0.000) [2 per cell]
Ni (0.000, 0.000, 0.500) [1 per cell]
Hg (0.500, 0.500, 0.000) [1 per cell]
O (0.500, 0.500, 0.500) [1 per cell]

V: 26.66 Å³/atom
E: -3.3404 eV per atom
Spin magnetization: 0.0 μB per formula unit